This record from the Alexandria database describes K2CaCuCl6 after structural relaxation. The functional is PBE.

Geometry as POSCAR:
```
K2CaCuCl6
1.0
-5.998 -2.986 -2.609
0.448 -5.445 5.201
-5.538 5.385 6.116
Cl Cu K Ca
12 2 4 2
Cartesian
-9.537 1.340 5.611 Cl
-4.564 1.288 7.036 Cl
-3.967 -2.259 5.660 Cl
-6.084 -2.695 8.467 Cl
-9.692 -1.579 7.910 Cl
-5.004 -0.351 0.241 Cl
-1.550 -4.386 3.097 Cl
-7.265 -3.833 5.469 Cl
-3.823 0.787 3.239 Cl
-1.395 -1.467 0.797 Cl
-6.524 -4.334 1.672 Cl
-7.121 -0.787 3.047 Cl
-5.768 1.200 1.753 Cu
0.224 -2.723 2.600 Cu
-1.075 -3.798 6.346 K
-4.079 -2.463 2.532 K
-7.009 -0.583 6.175 K
-10.013 0.752 2.361 K
-2.545 -0.030 5.658 Ca
-2.999 -1.493 -1.305 Ca
```

Results
Crystal system   monoclinic
Raw formation energy   -16.135 eV/f.u.
Total energy   -3.55 eV per atom
Symmetry   P2_1/c, No. 14